ReF4: optimized geometry, PBE-GGA. Values from VASP.

Values from the calculation:
The value obtained for the offset from the most stable computed form is 3 meV per atom. The calculation puts the spin magnetization at 3.0 μB per formula unit. As for the space-group type: Fdd2, No. 43.

Quantum ESPRESSO input file:
```
&SYSTEM
  ibrav = 0, nat = 10, ntyp = 2
/
ATOMIC_SPECIES
Re 186.21 Re.upf
F 19.00 F.upf
ATOMIC_POSITIONS angstrom
Re 0.0000 0.0000 0.0000
Re 2.2752 2.3602 1.3381
F 5.7027 5.4567 1.4922
F 5.6241 3.1356 2.7810
F 3.4276 1.6239 2.8303
F 3.3979 3.9842 1.4922
F 5.7517 5.4958 4.1190
F 5.6731 7.8170 2.8303
F 3.4765 6.3053 2.7810
F 3.3490 3.9451 4.1190
CELL_PARAMETERS angstrom
0.0000 4.7204 2.6761
4.5503 0.0000 2.6761
4.5503 4.7204 0.0000
```

---

ReI2: optimized geometry, PBE-GGA. Values from VASP.

Values from the calculation:
The value obtained for the offset from the most stable computed form is 482 meV per atom. The calculation puts the spin magnetization at 0.0 μB per formula unit. As for the space-group type: Fd-3m, No. 227.

Quantum ESPRESSO input file:
```
&SYSTEM
  ibrav = 0, nat = 6, ntyp = 2
/
ATOMIC_SPECIES
Re 186.21 Re.upf
I 126.90 I.upf
ATOMIC_POSITIONS angstrom
Re 1.4809 1.4809 1.4809
Re 10.3666 10.3666 10.3666
I 0.0000 0.0000 0.0000
I 2.9619 2.9619 0.0000
I 2.9619 0.0000 2.9619
I 0.0000 2.9619 2.9619
CELL_PARAMETERS angstrom
0.0000 5.9238 5.9238
5.9238 0.0000 5.9238
5.9238 5.9238 0.0000
```

---

MgSc2Os: optimized geometry, PBE-GGA. Values from VASP.

Values from the calculation:
For the raw total energy, the calculation gives -104.71 eV/cell. The calculation puts the spin magnetization at 0.0 μB per formula unit. As for the space-group type: Pnma, No. 62.

Quantum ESPRESSO input file:
```
&SYSTEM
  ibrav = 0, nat = 16, ntyp = 3
/
ATOMIC_SPECIES
Mg 24.30 Mg.upf
Sc 44.96 Sc.upf
Os 190.23 Os.upf
ATOMIC_POSITIONS angstrom
Mg 0.1767 2.0178 0.5649
Mg 3.3999 6.0535 3.4231
Mg 3.7532 2.0178 2.2934
Mg 6.9764 6.0535 5.1517
Sc 1.2392 0.4602 3.7709
Sc 1.2392 3.5754 3.7709
Sc 2.3373 4.4959 0.9126
Sc 2.3373 7.6111 0.9126
Sc 4.8158 0.4602 4.8039
Sc 4.8158 3.5754 4.8039
Sc 5.9139 4.4959 1.9457
Sc 5.9139 7.6111 1.9457
Os 0.7966 6.0535 2.5627
Os 2.7799 2.0178 5.4209
Os 4.3732 6.0535 0.2956
Os 6.3565 2.0178 3.1539
CELL_PARAMETERS angstrom
7.1531 0.0000 0.0000
0.0000 8.0713 0.0000
0.0000 0.0000 5.7165
```

---

Tl3AuBr6: optimized geometry, PBE-GGA. Values from VASP.

Values from the calculation:
For the raw total energy, the calculation gives -25.45 eV/cell. As for the space-group type: Fm-3m, No. 225.

Quantum ESPRESSO input file:
```
&SYSTEM
  ibrav = 0, nat = 10, ntyp = 3
/
ATOMIC_SPECIES
Tl 204.38 Tl.upf
Au 196.97 Au.upf
Br 79.90 Br.upf
ATOMIC_POSITIONS angstrom
Tl 0.0000 0.0000 0.0000
Tl 2.7619 2.7619 2.7619
Tl 8.2856 8.2856 8.2856
Au 5.5237 5.5237 5.5237
Br 5.5237 5.5237 2.8371
Br 5.5237 2.8371 5.5237
Br 8.2104 5.5237 5.5237
Br 2.8371 5.5237 5.5237
Br 5.5237 8.2104 5.5237
Br 5.5237 5.5237 8.2104
CELL_PARAMETERS angstrom
0.0000 5.5237 5.5237
5.5237 0.0000 5.5237
5.5237 5.5237 0.0000
```

---

ReIrOs: optimized geometry, PBE-GGA. Values from VASP.

Values from the calculation:
The value obtained for the offset from the most stable computed form is 0 meV per atom. The value obtained for the energy relative to the elements is 0.41 eV/atom. The calculation puts the spin magnetization at 0.0 μB per formula unit. As for the space-group type: F-43m, No. 216.

Quantum ESPRESSO input file:
```
&SYSTEM
  ibrav = 0, nat = 12, ntyp = 3
/
ATOMIC_SPECIES
Re 186.21 Re.upf
Ir 192.22 Ir.upf
Os 190.23 Os.upf
ATOMIC_POSITIONS angstrom
Re 0.0000 0.0000 0.0000
Re 0.0000 2.9533 2.9533
Re 2.9533 0.0000 2.9533
Re 2.9533 2.9533 0.0000
Ir 1.4767 1.4767 4.4300
Ir 1.4767 4.4300 1.4767
Ir 4.4300 1.4767 1.4767
Ir 4.4300 4.4300 4.4300
Os 1.4767 1.4767 1.4767
Os 1.4767 4.4300 4.4300
Os 4.4300 1.4767 4.4300
Os 4.4300 4.4300 1.4767
CELL_PARAMETERS angstrom
5.9066 0.0000 0.0000
0.0000 5.9066 0.0000
0.0000 0.0000 5.9066
```

---

MgAl2Cu4Ni: optimized geometry, PBE-GGA. Values from VASP.

Values from the calculation:
The value obtained for the offset from the most stable computed form is 7 meV per atom. The calculation puts the spin magnetization at 0.0 μB per formula unit. As for the space-group type: P4/mmm, No. 123.

Quantum ESPRESSO input file:
```
&SYSTEM
  ibrav = 0, nat = 8, ntyp = 4
/
ATOMIC_SPECIES
Mg 24.30 Mg.upf
Al 26.98 Al.upf
Cu 63.55 Cu.upf
Ni 58.69 Ni.upf
ATOMIC_POSITIONS angstrom
Mg 0.0000 0.0000 0.0000
Al 0.0000 0.0000 2.9688
Al 2.0837 2.0837 0.0000
Cu 0.0000 2.0837 1.5526
Cu 0.0000 2.0837 4.3850
Cu 2.0837 0.0000 1.5526
Cu 2.0837 0.0000 4.3850
Ni 2.0837 2.0837 2.9688
CELL_PARAMETERS angstrom
4.1674 0.0000 0.0000
0.0000 4.1674 0.0000
0.0000 0.0000 5.9376
```

---

Cu8GeSe6: optimized geometry, PBE-GGA. Values from VASP.

Values from the calculation:
For the raw total energy, the calculation gives -342.40 eV/cell. As for the space-group type: P6_3cm, No. 185.

Quantum ESPRESSO input file:
```
&SYSTEM
  ibrav = 0, nat = 90, ntyp = 3
/
ATOMIC_SPECIES
Cu 63.55 Cu.upf
Ge 72.64 Ge.upf
Se 78.96 Se.upf
ATOMIC_POSITIONS angstrom
Cu -1.1913 2.0635 1.4556
Cu -2.9437 5.0986 5.1329
Cu -3.4289 5.9390 11.0400
Cu -5.1813 8.9742 7.3628
Cu -1.4523 5.3850 1.1078
Cu -2.4352 7.0874 7.0150
Cu -0.3093 3.6697 5.9071
Cu -3.3492 8.9350 0.0000
Cu -0.2150 3.9379 8.4898
Cu -3.0698 8.8825 2.5826
Cu 2.3827 0.0000 1.4556
Cu 1.1913 2.0635 7.3628
Cu 0.3093 3.6697 0.0000
Cu -3.0399 9.4707 5.9071
Cu 0.2150 3.9379 2.5826
Cu -2.8548 9.2550 8.4898
Cu 3.3327 1.5670 5.9071
Cu 3.0234 2.1027 0.0000
Cu 3.5178 1.7827 8.4898
Cu 3.3028 2.1552 2.5826
Cu 1.4523 5.3850 7.0150
Cu -0.9829 9.6029 1.1078
Cu 5.8874 0.0000 5.1329
Cu 2.9437 5.0986 11.0400
Cu 5.3897 1.4348 1.1078
Cu 3.9374 3.9502 7.0150
Cu 2.4352 7.0874 1.1078
Cu 0.9829 9.6029 7.0150
Cu 6.8578 0.0000 11.0400
Cu 3.4289 5.9390 5.1329
Cu 7.3555 1.4348 7.0150
Cu 4.9203 5.6527 1.1078
Cu 3.0698 8.8825 8.4898
Cu 2.8548 9.2550 2.5826
Cu 3.3492 8.9350 5.9071
Cu 3.0399 9.4707 0.0000
Cu 9.2274 1.7827 2.5826
Cu 6.1576 7.0998 8.4898
Cu 9.4125 1.5670 0.0000
Cu 6.0633 7.3680 5.9071
Cu 10.3625 0.0000 7.3628
Cu 5.1813 8.9742 1.4556
Cu 9.4424 2.1552 8.4898
Cu 6.5876 7.0998 2.5826
Cu 9.7218 2.1027 5.9071
Cu 6.6819 7.3680 0.0000
Cu 8.8078 3.9502 1.1078
Cu 7.8249 5.6527 7.0150
Ge 0.0000 0.0000 4.3133
Ge 0.0000 0.0000 10.2204
Ge 0.0000 7.3585 3.9806
Ge 0.0000 7.3585 9.8877
Ge 6.3726 3.6792 3.9806
Ge 6.3726 3.6792 9.8877
Se 0.0000 0.0000 1.9395
Se 0.0000 0.0000 7.8466
Se -1.1615 2.0117 10.7636
Se -2.2218 3.8482 2.8608
Se -2.2920 3.9699 7.1821
Se -4.0806 7.0678 1.2750
Se -4.1508 7.1894 8.7680
Se -5.2111 9.0259 4.8565
Se -1.0674 5.3117 10.4809
Se -2.3062 7.4574 4.5738
Se 2.3230 0.0000 10.7636
Se 1.1615 2.0117 4.8565
Se 1.0674 5.3117 4.5738
Se -1.2388 9.3062 10.4809
Se 0.0000 7.3585 1.6015
Se 0.0000 7.3585 7.5087
Se 4.4436 0.0000 2.8608
Se 2.2218 3.8482 8.7680
Se 4.5840 0.0000 7.1821
Se 2.2920 3.9699 1.2750
Se 5.1338 1.7315 10.4809
Se 4.0664 3.5802 4.5738
Se 2.3062 7.4574 10.4809
Se 1.2388 9.3062 4.5738
Se 8.1612 0.0000 1.2750
Se 4.0806 7.0678 7.1821
Se 8.3017 0.0000 8.7680
Se 4.1508 7.1894 2.8608
Se 6.3726 3.6792 1.6015
Se 6.3726 3.6792 7.5087
Se 7.6115 1.7315 4.5738
Se 5.3052 5.7260 10.4809
Se 10.4223 0.0000 4.8565
Se 5.2111 9.0259 10.7636
Se 8.6788 3.5802 10.4809
Se 7.4400 5.7260 4.5738
CELL_PARAMETERS angstrom
12.7452 0.0000 0.0000
-6.3726 11.0377 0.0000
0.0000 0.0000 11.8143
```

---

YCo12B6: optimized geometry, PBE-GGA. Values from VASP.

Values from the calculation:
For the raw total energy, the calculation gives -138.41 eV/cell. The calculation puts the spin magnetization at 6.9 μB per formula unit. As for the space-group type: R-3m, No. 166.

Quantum ESPRESSO input file:
```
&SYSTEM
  ibrav = 0, nat = 19, ntyp = 3
/
ATOMIC_SPECIES
Y 88.91 Y.upf
Co 58.93 Co.upf
B 10.81 B.upf
ATOMIC_POSITIONS angstrom
Y 0.0000 0.0000 0.0000
Co -1.7259 -2.9893 3.7008
Co -3.4518 0.0000 3.7008
Co -1.2657 -0.7307 2.7087
Co 1.2657 -0.7307 2.7087
Co 0.0000 1.4615 2.7087
Co 1.7259 -2.9893 3.7008
Co -1.7259 2.9893 3.7008
Co 0.0000 -1.4615 4.6929
Co -1.2657 0.7307 4.6929
Co 1.2657 0.7307 4.6929
Co 3.4518 0.0000 3.7008
Co 1.7259 2.9893 3.7008
B 0.0000 -2.4122 2.8186
B -2.0890 1.2061 2.8186
B -2.0890 -1.2061 4.5829
B 2.0890 1.2061 2.8186
B 2.0890 -1.2061 4.5829
B 0.0000 2.4122 4.5829
CELL_PARAMETERS angstrom
4.6947 2.7105 2.4672
-4.6947 2.7105 2.4672
0.0000 -5.4209 2.4672
```

---

PrZr3: optimized geometry, PBE-GGA. Values from VASP.

Values from the calculation:
The value obtained for the offset from the most stable computed form is 1 meV per atom. The value obtained for the energy relative to the elements is 0.14 eV/atom. The calculation puts the spin magnetization at 0.0 μB per formula unit. As for the space-group type: Pmmn, No. 59.

Quantum ESPRESSO input file:
```
&SYSTEM
  ibrav = 0, nat = 8, ntyp = 2
/
ATOMIC_SPECIES
Pr 140.91 Pr.upf
Zr 91.22 Zr.upf
ATOMIC_POSITIONS angstrom
Pr 1.3343 1.6653 0.8937
Pr 4.0030 4.9958 4.9204
Zr 1.3343 0.0379 3.8077
Zr 1.3343 3.2926 3.8077
Zr 1.3343 4.9958 1.1531
Zr 4.0030 1.6653 4.6610
Zr 4.0030 3.3685 2.0063
Zr 4.0030 6.6232 2.0063
CELL_PARAMETERS angstrom
5.3374 0.0000 0.0000
0.0000 6.6611 0.0000
0.0000 0.0000 5.8141
```

---

What did the sixth record say?
MgAl2Cu4Ni: optimized geometry, PBE-GGA. Values from VASP.

Values from the calculation:
The value obtained for the offset from the most stable computed form is 7 meV per atom. The calculation puts the spin magnetization at 0.0 μB per formula unit. As for the space-group type: P4/mmm, No. 123.

Quantum ESPRESSO input file:
```
&SYSTEM
  ibrav = 0, nat = 8, ntyp = 4
/
ATOMIC_SPECIES
Mg 24.30 Mg.upf
Al 26.98 Al.upf
Cu 63.55 Cu.upf
Ni 58.69 Ni.upf
ATOMIC_POSITIONS angstrom
Mg 0.0000 0.0000 0.0000
Al 0.0000 0.0000 2.9688
Al 2.0837 2.0837 0.0000
Cu 0.0000 2.0837 1.5526
Cu 0.0000 2.0837 4.3850
Cu 2.0837 0.0000 1.5526
Cu 2.0837 0.0000 4.3850
Ni 2.0837 2.0837 2.9688
CELL_PARAMETERS angstrom
4.1674 0.0000 0.0000
0.0000 4.1674 0.0000
0.0000 0.0000 5.9376
```